# TlOs2, optimized geometry, DFT PBE-GGA
# VASP energy = -7.70 eV/atom
# relative energy among the computed polymorphs = 0 meV/atom
# calculated formation energy = 0.5715 eV per atom
# space-group type = No. 63
data_TlOs2
_chemical_formula_sum 'Tl2 Os4'
_symmetry_space_group_name_H-M 'P 1'
_symmetry_Int_Tables_number 1
_cell_length_a 10.2401
_cell_length_b 10.2401
_cell_length_c 4.3436
_cell_angle_alpha 90.00
_cell_angle_beta 90.00
_cell_angle_gamma 164.25
loop_
_symmetry_equiv_pos_as_xyz
'x,y,z'
loop_
_atom_site_label
_atom_site_fract_x
_atom_site_fract_y
_atom_site_fract_z
Tl1 0.3195 0.6805 0.7500
Tl2 0.6805 0.3195 0.2500
Os1 0.4283 0.5717 0.2500
Os2 0.5717 0.4283 0.7500
Os3 0.9616 0.0384 0.7500
Os4 0.0384 0.9616 0.2500

=====

# RbZrSc, optimized geometry, DFT PBE-GGA
# VASP energy = -4.90 eV/atom
# relative energy among the computed polymorphs = 106 meV/atom
# calculated formation energy = 0.3807 eV per atom
# space-group type = No. 6
data_RbZrSc
_chemical_formula_sum 'Rb2 Zr2 Sc2'
_symmetry_space_group_name_H-M 'P 1'
_symmetry_Int_Tables_number 1
_cell_length_a 13.5737
_cell_length_b 5.0342
_cell_length_c 3.3770
_cell_angle_alpha 90.00
_cell_angle_beta 87.88
_cell_angle_gamma 90.00
loop_
_symmetry_equiv_pos_as_xyz
'x,y,z'
loop_
_atom_site_label
_atom_site_fract_x
_atom_site_fract_y
_atom_site_fract_z
Sc1 0.5548 0.5488 0.3386
Sc2 0.4806 0.0488 0.8492
Rb1 0.2621 0.5492 0.3735
Rb2 0.9608 0.0491 0.2733
Zr1 0.7492 0.5490 0.8099
Zr2 0.6782 0.0488 0.3203

=====

# TlTcW, optimized geometry, DFT PBE-GGA
# VASP energy = -8.04 eV/atom
# relative energy among the computed polymorphs = 0 meV/atom
# calculated formation energy = 0.5193 eV per atom
# space-group type = No. 107
data_TlTcW
_chemical_formula_sum 'Tl1 Tc1 W1'
_symmetry_space_group_name_H-M 'P 1'
_symmetry_Int_Tables_number 1
_cell_length_a 6.1979
_cell_length_b 6.1979
_cell_length_c 6.1979
_cell_angle_alpha 151.23
_cell_angle_beta 151.23
_cell_angle_gamma 41.14
loop_
_symmetry_equiv_pos_as_xyz
'x,y,z'
loop_
_atom_site_label
_atom_site_fract_x
_atom_site_fract_y
_atom_site_fract_z
W1 0.6424 0.6424 0.0000
Tc1 0.0221 0.0221 0.0000
Tl1 0.3354 0.3354 0.0000

=====

# Er3Tl2Ru, optimized geometry, DFT PBE-GGA
# VASP energy = -4.98 eV/atom
# relative energy among the computed polymorphs = 0 meV/atom
# calculated formation energy = -0.3671 eV per atom
# space-group type = No. 10
data_Er3Tl2Ru
_chemical_formula_sum 'Er6 Tl4 Ru2'
_symmetry_space_group_name_H-M 'P 1'
_symmetry_Int_Tables_number 1
_cell_length_a 5.0821
_cell_length_b 7.9563
_cell_length_c 7.5749
_cell_angle_alpha 90.00
_cell_angle_beta 90.00
_cell_angle_gamma 71.50
loop_
_symmetry_equiv_pos_as_xyz
'x,y,z'
loop_
_atom_site_label
_atom_site_fract_x
_atom_site_fract_y
_atom_site_fract_z
Tl1 0.3350 0.3284 0.5000
Tl2 0.0000 0.0000 0.0000
Tl3 0.6650 0.6716 0.5000
Tl4 0.0000 0.0000 0.5000
Er1 0.5000 0.0000 0.7690
Er2 0.5000 0.0000 0.2310
Er3 0.1766 0.6477 0.7816
Er4 0.8234 0.3523 0.7816
Er5 0.1766 0.6477 0.2184
Er6 0.8234 0.3523 0.2184
Ru1 0.6656 0.6706 0.0000
Ru2 0.3344 0.3294 0.0000

=====

# TbY, optimized geometry, DFT PBE-GGA
# VASP energy = -5.42 eV/atom
# relative energy among the computed polymorphs = 123 meV/atom
# calculated formation energy = 0.1295 eV per atom
# space-group type = No. 221
data_TbY
_chemical_formula_sum 'Tb1 Y1'
_symmetry_space_group_name_H-M 'P 1'
_symmetry_Int_Tables_number 1
_cell_length_a 4.0250
_cell_length_b 4.0250
_cell_length_c 4.0250
_cell_angle_alpha 90.00
_cell_angle_beta 90.00
_cell_angle_gamma 90.00
loop_
_symmetry_equiv_pos_as_xyz
'x,y,z'
loop_
_atom_site_label
_atom_site_fract_x
_atom_site_fract_y
_atom_site_fract_z
Y1 0.5000 0.5000 0.5000
Tb1 0.0000 0.0000 0.0000

=====

# CaY2, optimized geometry, DFT PBE-GGA
# VASP energy = -4.90 eV/atom
# relative energy among the computed polymorphs = 10 meV/atom
# calculated formation energy = 0.0776 eV per atom
# space-group type = No. 12
data_CaY2
_chemical_formula_sum 'Ca2 Y4'
_symmetry_space_group_name_H-M 'P 1'
_symmetry_Int_Tables_number 1
_cell_length_a 7.0863
_cell_length_b 7.0863
_cell_length_c 8.6179
_cell_angle_alpha 76.16
_cell_angle_beta 76.16
_cell_angle_gamma 30.09
loop_
_symmetry_equiv_pos_as_xyz
'x,y,z'
loop_
_atom_site_label
_atom_site_fract_x
_atom_site_fract_y
_atom_site_fract_z
Ca1 0.6108 0.6108 0.2733
Ca2 0.6670 0.6670 0.6711
Y1 0.3398 0.3398 0.3314
Y2 0.2873 0.2873 0.9440
Y3 0.9905 0.9905 0.0004
Y4 0.9380 0.9380 0.6131

=====

# ZnCuPt2, optimized geometry, DFT PBE-GGA
# VASP energy = -4.67 eV/atom
# calculated formation energy = -0.3095 eV per atom
# space-group type = No. 12
data_ZnCuPt2
_chemical_formula_sum 'Zn1 Cu1 Pt2'
_symmetry_space_group_name_H-M 'P 1'
_symmetry_Int_Tables_number 1
_cell_length_a 4.5744
_cell_length_b 4.5744
_cell_length_c 4.8353
_cell_angle_alpha 79.65
_cell_angle_beta 79.65
_cell_angle_gamma 35.66
loop_
_symmetry_equiv_pos_as_xyz
'x,y,z'
loop_
_atom_site_label
_atom_site_fract_x
_atom_site_fract_y
_atom_site_fract_z
Pt1 0.9989 0.9989 0.9982
Pt2 0.5011 0.5011 0.5018
Zn1 0.2500 0.2500 0.2500
Cu1 0.7500 0.7500 0.7500

=====

# Li4PaIn5, optimized geometry, DFT PBE-GGA
# VASP energy = -3.30 eV/atom
# calculated formation energy = -0.2128 eV per atom
# space-group type = No. 123
data_Li4PaIn5
_chemical_formula_sum 'Li4 Pa1 In5'
_symmetry_space_group_name_H-M 'P 1'
_symmetry_Int_Tables_number 1
_cell_length_a 3.3790
_cell_length_b 3.3790
_cell_length_c 17.9992
_cell_angle_alpha 90.00
_cell_angle_beta 90.00
_cell_angle_gamma 90.00
loop_
_symmetry_equiv_pos_as_xyz
'x,y,z'
loop_
_atom_site_label
_atom_site_fract_x
_atom_site_fract_y
_atom_site_fract_z
In1 0.5000 0.5000 0.1265
In2 0.5000 0.5000 0.3121
In3 0.5000 0.5000 0.8735
In4 0.5000 0.5000 0.5000
In5 0.5000 0.5000 0.6879
Li1 0.0000 0.0000 0.4058
Li2 0.0000 0.0000 0.5942
Li3 0.0000 0.0000 0.2190
Li4 0.0000 0.0000 0.7810
Pa1 0.0000 0.0000 0.0000

=====

# ZnSbRuPb2, optimized geometry, DFT PBE-GGA
# VASP energy = -4.04 eV/atom
# formation energy (no corrections) = 1.9 eV/f.u.
# space-group type = No. 123
data_ZnSbRuPb2
_chemical_formula_sum 'Zn1 Sb1 Ru1 Pb2'
_symmetry_space_group_name_H-M 'P 1'
_symmetry_Int_Tables_number 1
_cell_length_a 5.3213
_cell_length_b 5.0768
_cell_length_c 5.3213
_cell_angle_alpha 90.00
_cell_angle_beta 90.00
_cell_angle_gamma 90.00
loop_
_symmetry_equiv_pos_as_xyz
'x,y,z'
loop_
_atom_site_label
_atom_site_fract_x
_atom_site_fract_y
_atom_site_fract_z
Sb1 0.0000 0.5000 0.0000
Pb1 0.5000 0.0000 0.0000
Pb2 0.0000 0.0000 0.5000
Zn1 0.5000 0.5000 0.5000
Ru1 0.0000 0.0000 0.0000

=====

# UTeI3, optimized geometry, DFT PBE-GGA
# VASP energy = -4.50 eV/atom
# formation energy (no corrections) = -3.4 eV/f.u.
# space-group type = No. 13
data_UTeI3
_chemical_formula_sum 'U4 Te4 I12'
_symmetry_space_group_name_H-M 'P 1'
_symmetry_Int_Tables_number 1
_cell_length_a 7.9196
_cell_length_b 8.1659
_cell_length_c 15.0226
_cell_angle_alpha 90.00
_cell_angle_beta 99.18
_cell_angle_gamma 90.00
loop_
_symmetry_equiv_pos_as_xyz
'x,y,z'
loop_
_atom_site_label
_atom_site_fract_x
_atom_site_fract_y
_atom_site_fract_z
I1 0.3707 0.2228 0.0773
I2 0.6293 0.2228 0.4227
I3 0.2401 0.4258 0.8076
I4 0.7599 0.5742 0.1924
I5 0.8500 0.2998 0.9579
I6 0.6293 0.7772 0.9227
I7 0.3707 0.7772 0.5773
I8 0.7599 0.4258 0.6924
I9 0.1500 0.7002 0.0421
I10 0.8500 0.7002 0.4579
I11 0.1500 0.2998 0.5421
I12 0.2401 0.5742 0.3076
U1 0.0767 0.3775 0.1399
U2 0.9233 0.3775 0.3601
U3 0.9233 0.6225 0.8601
U4 0.0767 0.6225 0.6399
Te1 0.1611 0.8860 0.7988
Te2 0.1611 0.1140 0.2988
Te3 0.8389 0.1140 0.2012
Te4 0.8389 0.8860 0.7012

=====

# Ti2NbSi2, optimized geometry, DFT PBE-GGA
# VASP energy = -8.11 eV/atom
# formation energy (no corrections) = -3.8 eV/f.u.
# relative energy among the computed polymorphs = 0 meV/atom
# space-group type = No. 127
data_Ti2NbSi2
_chemical_formula_sum 'Ti4 Nb2 Si4'
_symmetry_space_group_name_H-M 'P 1'
_symmetry_Int_Tables_number 1
_cell_length_a 6.7320
_cell_length_b 6.7320
_cell_length_c 3.4082
_cell_angle_alpha 90.00
_cell_angle_beta 90.00
_cell_angle_gamma 90.00
loop_
_symmetry_equiv_pos_as_xyz
'x,y,z'
loop_
_atom_site_label
_atom_site_fract_x
_atom_site_fract_y
_atom_site_fract_z
Si1 0.3741 0.8741 0.0000
Si2 0.6259 0.1259 0.0000
Si3 0.1259 0.3741 0.0000
Si4 0.8741 0.6259 0.0000
Ti1 0.6730 0.8270 0.5000
Ti2 0.3270 0.1730 0.5000
Ti3 0.8270 0.3270 0.5000
Ti4 0.1730 0.6730 0.5000
Nb1 0.0000 0.0000 0.0000
Nb2 0.5000 0.5000 0.0000

=====

# OsWCl2, optimized geometry, DFT PBE-GGA
# VASP energy = -5.98 eV/atom
# formation energy (no corrections) = 3.9 eV/f.u.
# relative energy among the computed polymorphs = 1107 meV/atom
# space-group type = No. 65
data_OsWCl2
_chemical_formula_sum 'Os1 W1 Cl2'
_symmetry_space_group_name_H-M 'P 1'
_symmetry_Int_Tables_number 1
_cell_length_a 2.9515
_cell_length_b 2.9515
_cell_length_c 11.6174
_cell_angle_alpha 90.00
_cell_angle_beta 90.00
_cell_angle_gamma 123.48
loop_
_symmetry_equiv_pos_as_xyz
'x,y,z'
loop_
_atom_site_label
_atom_site_fract_x
_atom_site_fract_y
_atom_site_fract_z
Cl1 0.0000 0.0000 0.9224
Cl2 0.0000 0.0000 0.5776
W1 0.5000 0.5000 0.7500
Os1 0.5000 0.5000 0.2500

=====

# Ce2ErC, optimized geometry, DFT PBE-GGA
# VASP energy = -6.28 eV/atom
# relative energy among the computed polymorphs = 165 meV/atom
# calculated formation energy = 0.1368 eV per atom
# space-group type = No. 123
data_Ce2ErC
_chemical_formula_sum 'Ce2 Er1 C1'
_symmetry_space_group_name_H-M 'P 1'
_symmetry_Int_Tables_number 1
_cell_length_a 3.2211
_cell_length_b 3.2211
_cell_length_c 8.6999
_cell_angle_alpha 90.00
_cell_angle_beta 90.00
_cell_angle_gamma 90.00
loop_
_symmetry_equiv_pos_as_xyz
'x,y,z'
loop_
_atom_site_label
_atom_site_fract_x
_atom_site_fract_y
_atom_site_fract_z
Er1 0.5000 0.5000 0.5000
Ce1 0.0000 0.0000 0.8436
Ce2 0.0000 0.0000 0.1564
C1 0.5000 0.5000 0.0000